First-principles (PBE) data for crystalline Mg3Sn3Pd2Ru at its relaxed geometry, as listed in the Alexandria database.

As for the formation energy: -0.45 eV per atom. As for the space group: P-62m (189).

Lattice parameters (Å, degrees): 3.4224 7.5987 7.5987 120.00 90.00 90.00
With the nearest neighbours (Å) after each atom.
Fractional coordinates of all 9 atoms:
Mg 0.0000 0.6151 0.6151  4 Pd 2.92, 1 Ru 2.92, 6 Sn 3.08-3.13
Mg 0.0000 0.3849 0.0000  4 Pd 2.92, 1 Ru 2.92, 6 Sn 3.08-3.13
Mg 0.0000 0.0000 0.3849  4 Pd 2.92, 1 Ru 2.92, 6 Sn 3.08-3.13
Sn 0.5000 0.7216 0.0000  2 Ru 2.72, 2 Pd 2.77
Sn 0.5000 0.2784 0.2784  2 Ru 2.72, 2 Pd 2.77
Sn 0.5000 0.0000 0.7216  2 Ru 2.72, 2 Pd 2.77
Pd 0.5000 0.6667 0.3333  3 Sn 2.77, 6 Mg 2.92
Pd 0.5000 0.3333 0.6667  3 Sn 2.77, 6 Mg 2.92
Ru 0.0000 0.0000 0.0000  6 Sn 2.72, 3 Mg 2.92


First-principles (PBE) data for crystalline Tb3Ag3Rh2 at its relaxed geometry, as listed in the Alexandria database.

As for the formation energy: -0.56 eV per atom. As for the space group: P-62m (189).

Lattice parameters (Å, degrees): 3.7144 7.3252 7.3252 120.00 90.00 90.00
With the nearest neighbours (Å) after each atom.
Fractional coordinates of all 8 atoms:
Ag 0.0000 0.0000 0.2265  2 Ag 2.87, 2 Rh 2.91
Ag 0.0000 0.7735 0.7735  2 Ag 2.87, 2 Rh 2.91
Ag 0.0000 0.2265 0.0000  2 Ag 2.87, 2 Rh 2.91
Tb 0.5000 0.4139 0.4139  4 Rh 2.88, 6 Ag 3.22
Tb 0.5000 0.5861 0.0000  4 Rh 2.88, 6 Ag 3.22
Tb 0.5000 0.0000 0.5861  4 Rh 2.88, 6 Ag 3.22
Rh 0.0000 0.6667 0.3333  6 Tb 2.88, 3 Ag 2.91
Rh 0.0000 0.3333 0.6667  6 Tb 2.88, 3 Ag 2.91


First-principles (PBE) data for crystalline Li3Zr3AgSe8 at its relaxed geometry, as listed in the Alexandria database.

For the uncorrected formation energy, the calculation gives -1.111 eV/atom. As for the space group: R-3m (166).

Lattice parameters (Å, degrees): 7.7263 7.7250 7.8344 119.54 90.00 120.01
With the nearest neighbours (Å) after each atom.
Fractional coordinates of all 15 atoms:
Zr 0.5000 0.5000 0.5000  6 Se 2.70-2.76
Zr 0.0000 0.5000 0.5000  6 Se 2.70-2.76
Zr 0.5000 0.0000 0.5000  6 Se 2.70-2.76
Li 0.5000 0.5000 0.0000  6 Se 2.75-2.80
Li 0.0000 0.0000 0.0000  6 Se 2.74-2.80
Li 0.0000 0.5000 0.0000  6 Se 2.75-2.80
Se 0.2559 0.9907 0.7465  2 Zr 2.70, 2 Li 2.80, 1 Ag 2.81
Se 0.2652 0.0093 0.2535  2 Zr 2.70, 2 Li 2.80, 1 Ag 2.81
Se 0.2557 0.5115 0.7464  2 Zr 2.70, 2 Li 2.80, 1 Ag 2.81
Se 0.7441 0.0093 0.2535  2 Zr 2.70, 2 Li 2.80, 1 Ag 2.81
Se 0.7505 0.5009 0.7513  3 Li 2.74-2.75, 3 Zr 2.76
Se 0.7443 0.4885 0.2536  2 Zr 2.70, 2 Li 2.80, 1 Ag 2.81
Se 0.2495 0.4991 0.2487  3 Li 2.74-2.75, 3 Zr 2.76
Se 0.7348 0.9907 0.7465  2 Zr 2.70, 2 Li 2.80, 1 Ag 2.81
Ag 0.0000 0.0000 0.5000  6 Se 2.81


| no. | DOS(E_F) (states/eV/cell) | spin magnetization (μB/f.u.) |
| --- | --- | --- |
| 1 | 2.9 | 0.00 |
| 2 | 4.0 | 0.00 |
| 3 | 6.7 | 0.00 |